No. 1
VASP calculation (PBE) on crystalline RbThCu2Se4 at its relaxed geometry.

## Properties
Formation energy (no corrections) in kJ/mol of atoms: -72

CIF file:
```
data_RbThCu2Se4
_chemical_formula_sum 'Rb2 Th2 Cu4 Se8'
_cell_length_a 6.7447
_cell_length_b 8.0567
_cell_length_c 8.6749
_cell_angle_alpha 90.00
_cell_angle_beta 90.00
_cell_angle_gamma 90.00
_symmetry_space_group_name_H-M 'I 2 2 2'
_symmetry_Int_Tables_number 23
_symmetry_space_group_name_Hall 'I 2 2'
loop_
_atom_site_label
_atom_site_fract_x
_atom_site_fract_y
_atom_site_fract_z
Rb1 0.0000 0.0000 0.0000
Th1 0.0000 0.0000 0.5000
Cu1 0.0000 0.5000 0.1447
Se1 0.2485 0.3077 0.8122
```


No. 2
VASP calculation (PBE) on crystalline Ho3Fe2Ni7 at its relaxed geometry.

## Properties
DFT formation energy in meV/atom: -361

CIF file:
```
data_Ho3Fe2Ni7
_chemical_formula_sum 'Ho9 Fe6 Ni21'
_cell_length_a 4.9894
_cell_length_b 4.9894
_cell_length_c 24.3136
_cell_angle_alpha 90.00
_cell_angle_beta 90.00
_cell_angle_gamma 120.00
_symmetry_space_group_name_H-M 'R -3 m'
_symmetry_Int_Tables_number 166
_symmetry_space_group_name_Hall '-R 3 2"'
loop_
_atom_site_label
_atom_site_fract_x
_atom_site_fract_y
_atom_site_fract_z
Ho1 0.0000 0.0000 0.0000
Ho2 0.0000 0.0000 0.1387
Fe1 0.0000 0.0000 0.3328
Ni1 0.0000 0.0000 0.5000
Ni2 0.0006 0.5003 0.0814
```


No. 3
VASP calculation (PBE) on crystalline CaAl2ZnCu4 at its relaxed geometry.

## Properties
DFT formation energy in meV/atom: -158

CIF file:
```
data_CaAl2ZnCu4
_chemical_formula_sum 'Ca3 Al6 Zn3 Cu12'
_cell_length_a 4.2083
_cell_length_b 4.2083
_cell_length_c 25.3187
_cell_angle_alpha 90.00
_cell_angle_beta 90.00
_cell_angle_gamma 120.00
_symmetry_space_group_name_H-M 'R -3 m'
_symmetry_Int_Tables_number 166
_symmetry_space_group_name_Hall '-R 3 2"'
loop_
_atom_site_label
_atom_site_fract_x
_atom_site_fract_y
_atom_site_fract_z
Ca1 0.0000 0.0000 0.0000
Al1 0.0000 0.0000 0.2389
Zn1 0.0000 0.0000 0.5000
Cu1 0.0000 0.0000 0.1284
Cu2 0.0000 0.0000 0.4055
```


No. 4
VASP calculation (PBE) on crystalline YSc5Cd6 at its relaxed geometry.

## Properties
DFT formation energy in meV/atom: -295

CIF file:
```
data_YSc5Cd6
_chemical_formula_sum 'Y2 Sc10 Cd12'
_cell_length_a 15.9043
_cell_length_b 7.2070
_cell_length_c 5.0341
_cell_angle_alpha 90.00
_cell_angle_beta 108.13
_cell_angle_gamma 90.00
_symmetry_space_group_name_H-M 'C 1 2/m 1'
_symmetry_Int_Tables_number 12
_symmetry_space_group_name_Hall '-C 2y'
loop_
_atom_site_label
_atom_site_fract_x
_atom_site_fract_y
_atom_site_fract_z
Y1 0.0000 0.0000 0.0000
Sc1 0.0000 0.5000 0.0000
Sc2 0.1642 0.0000 0.6637
Sc3 0.1683 0.5000 0.6680
Cd1 0.0000 0.2659 0.5000
Cd2 0.1705 0.2580 0.1699
```


No. 5
VASP calculation (PBE) on crystalline TlCdCl3 at its relaxed geometry.

## Properties
Formation energy (no corrections) in kJ/mol of atoms: -102

CIF file:
```
data_TlCdCl3
_chemical_formula_sum 'Tl2 Cd2 Cl6'
_cell_length_a 8.4237
_cell_length_b 4.0507
_cell_length_c 8.8275
_cell_angle_alpha 90.00
_cell_angle_beta 99.64
_cell_angle_gamma 90.00
_symmetry_space_group_name_H-M 'P 1 21/m 1'
_symmetry_Int_Tables_number 11
_symmetry_space_group_name_Hall '-P 2yb'
loop_
_atom_site_label
_atom_site_fract_x
_atom_site_fract_y
_atom_site_fract_z
Tl1 0.1405 0.2500 0.3060
Cd1 0.3297 0.7500 0.8576
Cl1 0.1385 0.2500 0.9060
Cl2 0.2096 0.7500 0.5705
Cl3 0.4520 0.7500 0.1606
```


No. 6
VASP calculation (PBE) on crystalline TeMoH2Pb at its relaxed geometry.

## Properties
Energy in eV per cell: -21.49

CIF file:
```
data_TeMoH2Pb
_chemical_formula_sum 'Te1 Mo1 H2 Pb1'
_cell_length_a 4.2516
_cell_length_b 4.2516
_cell_length_c 5.4800
_cell_angle_alpha 90.00
_cell_angle_beta 90.00
_cell_angle_gamma 90.00
_symmetry_space_group_name_H-M 'P 4/m m m'
_symmetry_Int_Tables_number 123
_symmetry_space_group_name_Hall '-P 4 2'
loop_
_atom_site_label
_atom_site_fract_x
_atom_site_fract_y
_atom_site_fract_z
Te1 0.0000 0.0000 0.0000
Mo1 0.0000 0.0000 0.5000
H1 0.0000 0.5000 0.5000
Pb1 0.5000 0.5000 0.0000
```


No. 7
VASP calculation (PBE) on crystalline SmHoCdGa at its relaxed geometry.

## Properties
DFT formation energy in meV/atom: -436

CIF file:
```
data_SmHoCdGa
_chemical_formula_sum 'Sm4 Ho4 Cd4 Ga4'
_cell_length_a 7.3818
_cell_length_b 7.3818
_cell_length_c 7.3818
_cell_angle_alpha 90.00
_cell_angle_beta 90.00
_cell_angle_gamma 90.00
_symmetry_space_group_name_H-M 'F -4 3 m'
_symmetry_Int_Tables_number 216
_symmetry_space_group_name_Hall 'F -4 2 3'
loop_
_atom_site_label
_atom_site_fract_x
_atom_site_fract_y
_atom_site_fract_z
Sm1 0.0000 0.0000 0.0000
Ho1 0.0000 0.0000 0.5000
Cd1 0.2500 0.2500 0.7500
Ga1 0.2500 0.2500 0.2500
```


No. 8
VASP calculation (PBE) on crystalline Ac3NdF at its relaxed geometry.

## Properties
Formation energy (no corrections) in kJ/mol of atoms: -93

CIF file:
```
data_Ac3NdF
_chemical_formula_sum 'Ac3 Nd1 F1'
_cell_length_a 5.5597
_cell_length_b 5.5597
_cell_length_c 5.5597
_cell_angle_alpha 90.00
_cell_angle_beta 90.00
_cell_angle_gamma 90.00
_symmetry_space_group_name_H-M 'P m -3 m'
_symmetry_Int_Tables_number 221
_symmetry_space_group_name_Hall '-P 4 2 3'
loop_
_atom_site_label
_atom_site_fract_x
_atom_site_fract_y
_atom_site_fract_z
Ac1 0.0000 0.0000 0.5000
Nd1 0.5000 0.5000 0.5000
F1 0.0000 0.0000 0.0000
```


No. 9
VASP calculation (PBE) on crystalline LuPuCd at its relaxed geometry.

## Properties
DFT formation energy in meV/atom: 46

CIF file:
```
data_LuPuCd
_chemical_formula_sum 'Lu1 Pu1 Cd1'
_cell_length_a 5.3137
_cell_length_b 5.3137
_cell_length_c 3.1992
_cell_angle_alpha 90.00
_cell_angle_beta 90.00
_cell_angle_gamma 120.00
_symmetry_space_group_name_H-M 'P 3 m 1'
_symmetry_Int_Tables_number 156
_symmetry_space_group_name_Hall 'P 3 -2"'
loop_
_atom_site_label
_atom_site_fract_x
_atom_site_fract_y
_atom_site_fract_z
Lu1 0.0000 0.0000 0.0000
Pu1 0.3333 0.6667 0.4096
Cd1 0.6667 0.3333 0.7362
```


No. 10
VASP calculation (PBE) on crystalline Sr2CrRu at its relaxed geometry.

## Properties
DFT formation energy in meV/atom: 815

CIF file:
```
data_Sr2CrRu
_chemical_formula_sum 'Sr8 Cr4 Ru4'
_cell_length_a 7.3233
_cell_length_b 7.3233
_cell_length_c 7.3233
_cell_angle_alpha 90.00
_cell_angle_beta 90.00
_cell_angle_gamma 90.00
_symmetry_space_group_name_H-M 'F -4 3 m'
_symmetry_Int_Tables_number 216
_symmetry_space_group_name_Hall 'F -4 2 3'
loop_
_atom_site_label
_atom_site_fract_x
_atom_site_fract_y
_atom_site_fract_z
Sr1 0.0000 0.0000 0.0000
Sr2 0.2500 0.2500 0.2500
Cr1 0.2500 0.2500 0.7500
Ru1 0.0000 0.0000 0.5000
```


No. 11
VASP calculation (PBE) on crystalline BaCaPIr2 at its relaxed geometry.

## Properties
DFT formation energy in meV/atom: -73

CIF file:
```
data_BaCaPIr2
_chemical_formula_sum 'Ba1 Ca1 P1 Ir2'
_cell_length_a 4.6375
_cell_length_b 4.6375
_cell_length_c 5.2071
_cell_angle_alpha 90.00
_cell_angle_beta 90.00
_cell_angle_gamma 90.00
_symmetry_space_group_name_H-M 'P 4/m m m'
_symmetry_Int_Tables_number 123
_symmetry_space_group_name_Hall '-P 4 2'
loop_
_atom_site_label
_atom_site_fract_x
_atom_site_fract_y
_atom_site_fract_z
Ba1 0.0000 0.0000 0.0000
Ca1 0.5000 0.5000 0.0000
P1 0.5000 0.5000 0.5000
Ir1 0.0000 0.5000 0.5000
```


No. 12
VASP calculation (PBE) on crystalline Nd3TlRh at its relaxed geometry.

## Properties
DFT formation energy in meV/atom: -465

CIF file:
```
data_Nd3TlRh
_chemical_formula_sum 'Nd12 Tl4 Rh4'
_cell_length_a 8.0552
_cell_length_b 4.8874
_cell_length_c 14.7456
_cell_angle_alpha 90.00
_cell_angle_beta 90.00
_cell_angle_gamma 90.00
_symmetry_space_group_name_H-M 'P n m a'
_symmetry_Int_Tables_number 62
_symmetry_space_group_name_Hall '-P 2ac 2n'
loop_
_atom_site_label
_atom_site_fract_x
_atom_site_fract_y
_atom_site_fract_z
Nd1 0.0047 0.2500 0.1082
Nd2 0.1437 0.7500 0.4774
Nd3 0.1751 0.2500 0.7175
Tl1 0.1060 0.2500 0.3287
Rh1 0.1954 0.7500 0.0476
```


No. 13
VASP calculation (PBE) on crystalline Sr5Sb2As at its relaxed geometry.

## Properties
Formation energy (no corrections) in kJ/mol of atoms: -101

CIF file:
```
data_Sr5Sb2As
_chemical_formula_sum 'Sr20 Sb8 As4'
_cell_length_a 13.2527
_cell_length_b 9.8952
_cell_length_c 8.6803
_cell_angle_alpha 90.00
_cell_angle_beta 90.00
_cell_angle_gamma 90.00
_symmetry_space_group_name_H-M 'P n m a'
_symmetry_Int_Tables_number 62
_symmetry_space_group_name_Hall '-P 2ac 2n'
loop_
_atom_site_label
_atom_site_fract_x
_atom_site_fract_y
_atom_site_fract_z
Sr1 0.0020 0.2500 0.0415
Sr2 0.0763 0.0357 0.6848
Sr3 0.2013 0.7500 0.3573
Sr4 0.2156 0.2500 0.3315
Sb1 0.1713 0.5096 0.0643
As1 0.0138 0.7500 0.5737
```


No. 14
VASP calculation (PBE) on crystalline AcThIrPt at its relaxed geometry.

## Properties
DFT formation energy in meV/atom: -945

CIF file:
```
data_AcThIrPt
_chemical_formula_sum 'Ac2 Th2 Ir2 Pt2'
_cell_length_a 7.2227
_cell_length_b 4.1685
_cell_length_c 7.7240
_cell_angle_alpha 90.00
_cell_angle_beta 108.24
_cell_angle_gamma 90.00
_symmetry_space_group_name_H-M 'C 1 m 1'
_symmetry_Int_Tables_number 8
_symmetry_space_group_name_Hall 'C -2y'
loop_
_atom_site_label
_atom_site_fract_x
_atom_site_fract_y
_atom_site_fract_z
Ac1 0.0000 0.0000 0.0000
Th1 0.1782 0.0000 0.5353
Ir1 0.0812 0.5000 0.7445
Pt1 0.2627 0.5000 0.2887
```


No. 15
VASP calculation (PBE) on crystalline LiB2Rh8 at its relaxed geometry.

## Properties
DFT formation energy in meV/atom: -59

CIF file:
```
data_LiB2Rh8
_chemical_formula_sum 'Li2 B4 Rh16'
_cell_length_a 7.2113
_cell_length_b 9.7189
_cell_length_c 4.1799
_cell_angle_alpha 90.00
_cell_angle_beta 105.19
_cell_angle_gamma 90.00
_symmetry_space_group_name_H-M 'C 1 2/m 1'
_symmetry_Int_Tables_number 12
_symmetry_space_group_name_Hall '-C 2y'
loop_
_atom_site_label
_atom_site_fract_x
_atom_site_fract_y
_atom_site_fract_z
Li1 0.0000 0.0000 0.0000
B1 0.0000 0.3172 0.5000
Rh1 0.0000 0.2558 0.0000
Rh2 0.1293 0.5000 0.8013
Rh3 0.1946 0.1329 0.6020
```


No. 16
VASP calculation (PBE) on crystalline TlO2F4 at its relaxed geometry.

## Properties
Formation energy (no corrections) in kJ/mol of atoms: -30

CIF file:
```
data_TlO2F4
_chemical_formula_sum 'Tl2 O4 F8'
_cell_length_a 13.4004
_cell_length_b 4.0742
_cell_length_c 3.7012
_cell_angle_alpha 90.00
_cell_angle_beta 105.40
_cell_angle_gamma 90.00
_symmetry_space_group_name_H-M 'C 1 2/m 1'
_symmetry_Int_Tables_number 12
_symmetry_space_group_name_Hall '-C 2y'
loop_
_atom_site_label
_atom_site_fract_x
_atom_site_fract_y
_atom_site_fract_z
Tl1 0.0000 0.0000 0.0000
O1 0.2238 0.5000 0.8962
F1 0.0978 0.5000 0.1115
F2 0.0997 0.0000 0.6040
```


No. 17
VASP calculation (PBE) on crystalline Tl6Hg2PbAu at its relaxed geometry.

## Properties
DFT formation energy in meV/atom: 4

CIF file:
```
data_Tl6Hg2PbAu
_chemical_formula_sum 'Tl6 Hg2 Pb1 Au1'
_cell_length_a 6.2191
_cell_length_b 6.6100
_cell_length_c 8.5022
_cell_angle_alpha 75.80
_cell_angle_beta 69.30
_cell_angle_gamma 63.61
_symmetry_space_group_name_H-M 'P 1'
_symmetry_Int_Tables_number 1
_symmetry_space_group_name_Hall 'P 1'
loop_
_atom_site_label
_atom_site_fract_x
_atom_site_fract_y
_atom_site_fract_z
Tl1 0.0000 0.0000 0.0000
Tl2 0.0885 0.7309 0.4378
Tl3 0.2748 0.3204 0.1440
Tl4 0.5047 0.6000 0.7102
Tl5 0.6095 0.0383 0.7817
Tl6 0.7039 0.3002 0.3560
Hg1 0.6247 0.8347 0.3034
Hg2 0.9903 0.5135 0.8621
Pb1 0.1512 0.1719 0.5780
Au1 0.4783 0.6763 0.0792
```


No. 18
VASP calculation (PBE) on crystalline La2MnZn at its relaxed geometry.

## Properties
DFT formation energy in meV/atom: 130

CIF file:
```
data_La2MnZn
_chemical_formula_sum 'La8 Mn4 Zn4'
_cell_length_a 7.1717
_cell_length_b 7.1717
_cell_length_c 7.1717
_cell_angle_alpha 90.00
_cell_angle_beta 90.00
_cell_angle_gamma 90.00
_symmetry_space_group_name_H-M 'F -4 3 m'
_symmetry_Int_Tables_number 216
_symmetry_space_group_name_Hall 'F -4 2 3'
loop_
_atom_site_label
_atom_site_fract_x
_atom_site_fract_y
_atom_site_fract_z
La1 0.0000 0.0000 0.0000
La2 0.2500 0.2500 0.2500
Mn1 0.2500 0.2500 0.7500
Zn1 0.0000 0.0000 0.5000
```


Calculated values (states/eV/cell) of Fermi-level density of states for the records, taken in order: 15.0, 29.4, 7.8, 23.7, 0.0, 1.8, 14.5, 4.7, 8.1, 23.2, 5.4, 16.2, 6.5, 2.2, 23.6, 2.0, 4.8, 13.7.